Entry 1:
The following is a PBE-GGA calculation of an optimized crystal structure of Lu4Ga2H, from the Alexandria database.

Density of states at the Fermi level   4.46 states/eV/f.u.
Energy   -4.346 eV/atom
Total magnetic moment   0.0 μB/f.u.
Space-group type   I4/mmm (139)

a b c (Å): 4.3704 4.3704 8.4197
angles (deg): 74.96 74.96 90.00
Sites, in units of the cell vectors:
Ga 0.6330 0.6330 0.7340
Lu 0.1793 0.1793 0.6414
H 0.0000 0.0000 0.0000
Lu 0.0000 0.5000 0.0000
Lu 0.5000 0.0000 0.0000
Ga 0.3670 0.3670 0.2660
Lu 0.8207 0.8207 0.3586


Entry 2:
The following is a PBE-GGA calculation of an optimized crystal structure of Lu2GaH, from the Alexandria database.

Density of states at the Fermi level   1.49 states/eV/f.u.
Energy   -4.047 eV/atom
Total magnetic moment   0.0 μB/f.u.
Space-group type   R-3m (166)

a b c (Å): 4.7819 4.7819 4.7943
angles (deg): 60.09 60.09 60.00
Sites, in units of the cell vectors:
Ga 0.0000 0.0000 0.0000
Lu 0.2497 0.2497 0.2509
H 0.5000 0.5000 0.5000
Lu 0.7503 0.7503 0.7491


Q: What is the formula in the second record?
A: Lu2GaH


Q: density of states at the Fermi level of number 1 (Lu4Ga2H)?
A: 4.46 states/eV/f.u.